# 1
Density functional theory data (PBE-GGA) for crystalline Sr2U3S8 at its relaxed geometry.

Output
SG ... C2/m, No. 12
Energy relative to the elements, uncorrected ... -1612 meV per atom
E_tot ... -7.016 eV/atom

Geometry as POSCAR:
```
Sr2U3S8
1.0
7.1808 -4.0636 0.0000
7.1808 4.0636 0.0000
-2.3065 0.0000 6.4687
Sr U S
2 3 8
direct
0.2285 0.2285 0.1586
0.7715 0.7715 0.8414
0.2431 0.7569 0.5000
0.5000 0.5000 0.0000
0.7569 0.2431 0.5000
0.1118 0.1118 0.4465
0.1618 0.6130 0.0991
0.3870 0.8382 0.9009
0.3953 0.3953 0.5890
0.6047 0.6047 0.4110
0.6130 0.1618 0.0991
0.8382 0.3870 0.9009
0.8882 0.8882 0.5535
```

---

# 2
Density functional theory data (PBE-GGA) for crystalline Cs2Rb2Pd at its relaxed geometry.

Output
SG ... P4/mbm, No. 127
E_form ... 0.94 eV per formula unit
E_tot ... -1.579 eV/atom

Geometry as POSCAR:
```
Cs2Rb2Pd
1.0
9.1849 0.0000 0.0000
0.0000 9.1849 0.0000
0.0000 0.0000 8.3856
Cs Rb Pd
4 4 2
direct
0.1743 0.3257 0.0000
0.3257 0.8257 0.0000
0.6743 0.1743 0.0000
0.8257 0.6743 0.0000
0.1889 0.6889 0.5000
0.3111 0.1889 0.5000
0.6889 0.8111 0.5000
0.8111 0.3111 0.5000
0.0000 0.0000 0.0000
0.5000 0.5000 0.0000
```